(1)
Entry from Alexandria: a geometry-optimized TePd4Pt2 structure (PBE).

ΔE_f (raw) in meV per atom: 34
Crystal system: orthorhombic

Cell lengths 9.261, 9.261, 2.896 Å; angles 90.00, 90.00, 150.88 degrees
Atoms (fractional coordinates):
Te (0.000, 0.000, 0.000)
Pd (0.133, 0.867, 0.500)
Pd (0.419, 0.581, 0.000)
Pd (0.581, 0.419, 0.000)
Pd (0.867, 0.133, 0.500)
Pt (0.283, 0.717, 0.500)
Pt (0.717, 0.283, 0.500)


(2)
Entry from Alexandria: a geometry-optimized Er2Ga4IrRh3 structure (PBE).

Crystal system: tetragonal
Energy of formation from the pure elements in eV per atom: -0.77

Cell lengths 4.245, 4.245, 10.027 Å; angles 90.00, 90.00, 90.00 degrees
Atoms (fractional coordinates):
Er (0.000, 0.500, 0.230)
Er (0.500, 0.000, 0.770)
Ga (0.000, 0.000, 0.500)
Ga (0.000, 0.500, 0.870)
Ga (0.500, 0.000, 0.130)
Ga (0.500, 0.500, 0.500)
Ir (0.500, 0.500, 0.000)
Rh (0.000, 0.000, 0.000)
Rh (0.000, 0.500, 0.629)
Rh (0.500, 0.000, 0.371)


(3)
Entry from Alexandria: a geometry-optimized Nb2AsIr structure (PBE).

Crystal system: tetragonal
Energy of formation from the pure elements in eV per atom: -0.05

Cell lengths 5.769, 5.769, 5.769 Å; angles 104.13, 104.13, 120.79 degrees
Atoms (fractional coordinates):
Nb (0.124, 0.125, 0.499)
Nb (0.375, 0.876, 0.001)
Nb (0.626, 0.625, 0.501)
Nb (0.875, 0.374, 0.999)
As (0.000, 0.000, 0.000)
As (0.750, 0.250, 0.500)
Ir (0.250, 0.750, 0.500)
Ir (0.500, 0.500, 0.000)


(4)
Entry from Alexandria: a geometry-optimized KBe2P structure (PBE).

Crystal system: tetragonal
Energy of formation from the pure elements in eV per atom: 1.01

Cell lengths 4.608, 4.608, 4.608 Å; angles 119.93, 119.93, 90.12 degrees
Atoms (fractional coordinates):
K (0.000, 0.000, 0.000)
Be (0.500, 0.500, 0.000)
Be (0.750, 0.250, 0.500)
P (0.250, 0.750, 0.500)


(5)
Entry from Alexandria: a geometry-optimized AgSb4Pt structure (PBE).

ΔE_f (raw) in meV per atom: 670
Crystal system: cubic
E above lowest polymorph in meV/atom: 835.8

Cell lengths 6.074, 6.074, 6.074 Å; angles 60.00, 60.00, 60.00 degrees
Atoms (fractional coordinates):
Ag (0.000, 0.000, 0.000)
Sb (0.375, 0.375, 0.375)
Sb (0.375, 0.375, 0.876)
Sb (0.375, 0.876, 0.375)
Sb (0.876, 0.375, 0.375)
Pt (0.750, 0.750, 0.750)


(6)
Entry from Alexandria: a geometry-optimized CaNi3As structure (PBE).

Crystal system: cubic
E above lowest polymorph in meV/atom: 0.0
Energy of formation from the pure elements in eV per atom: -0.11

Cell lengths 4.439, 4.439, 4.439 Å; angles 90.00, 90.00, 90.00 degrees
Atoms (fractional coordinates):
Ca (0.000, 0.000, 0.000)
Ni (0.000, 0.500, 0.500)
Ni (0.500, 0.000, 0.500)
Ni (0.500, 0.500, 0.000)
As (0.500, 0.500, 0.500)


(7)
Entry from Alexandria: a geometry-optimized Ho2Sc8In3 structure (PBE).

Crystal system: trigonal
Energy of formation from the pure elements in eV per atom: 0.08

Cell lengths 11.607, 11.607, 11.607 Å; angles 29.86, 29.86, 29.86 degrees
Atoms (fractional coordinates):
Ho (0.139, 0.139, 0.139)
Ho (0.861, 0.861, 0.861)
Sc (0.222, 0.222, 0.724)
Sc (0.222, 0.724, 0.222)
Sc (0.229, 0.229, 0.229)
Sc (0.276, 0.778, 0.778)
Sc (0.724, 0.222, 0.222)
Sc (0.771, 0.771, 0.771)
Sc (0.778, 0.276, 0.778)
Sc (0.778, 0.778, 0.276)
In (0.314, 0.314, 0.314)
In (0.500, 0.500, 0.500)
In (0.686, 0.686, 0.686)


(8)
Entry from Alexandria: a geometry-optimized TlV2TeSe structure (PBE).

ΔE_f (raw) in meV per atom: 869
Crystal system: tetragonal

Cell lengths 5.145, 5.145, 6.187 Å; angles 90.00, 90.00, 90.00 degrees
Atoms (fractional coordinates):
Tl (0.000, 0.000, 0.000)
V (0.000, 0.500, 0.500)
V (0.500, 0.000, 0.500)
Te (0.000, 0.000, 0.500)
Se (0.500, 0.500, 0.000)


(9)
Entry from Alexandria: a geometry-optimized Ac3Al structure (PBE).

Crystal system: tetragonal
E above lowest polymorph in meV/atom: 58.1
Energy of formation from the pure elements in eV per atom: -0.01

Cell lengths 6.560, 6.560, 6.560 Å; angles 133.48, 133.48, 67.90 degrees
Atoms (fractional coordinates):
Ac (0.000, 0.000, 0.000)
Ac (0.250, 0.750, 0.500)
Ac (0.750, 0.250, 0.500)
Al (0.500, 0.500, 0.000)


(10)
Entry from Alexandria: a geometry-optimized TaReAg2 structure (PBE).

Crystal system: tetragonal
E above lowest polymorph in meV/atom: 197.8
Energy of formation from the pure elements in eV per atom: 0.42

Cell lengths 5.321, 5.321, 5.321 Å; angles 137.90, 137.90, 61.06 degrees
Atoms (fractional coordinates):
Ta (0.000, 0.000, 0.000)
Re (0.500, 0.500, 0.000)
Ag (0.250, 0.750, 0.500)
Ag (0.750, 0.250, 0.500)


(11)
Entry from Alexandria: a geometry-optimized Dy3Ga3Au2 structure (PBE).

Crystal system: orthorhombic
Energy of formation from the pure elements in eV per atom: -0.76

Cell lengths 5.767, 5.767, 14.702 Å; angles 90.00, 90.00, 134.81 degrees
Atoms (fractional coordinates):
Dy (0.091, 0.909, 0.609)
Dy (0.091, 0.909, 0.891)
Dy (0.361, 0.639, 0.750)
Dy (0.639, 0.361, 0.250)
Dy (0.909, 0.091, 0.109)
Dy (0.909, 0.091, 0.391)
Ga (0.355, 0.645, 0.250)
Ga (0.389, 0.611, 0.536)
Ga (0.389, 0.611, 0.964)
Ga (0.611, 0.389, 0.036)
Ga (0.611, 0.389, 0.464)
Ga (0.645, 0.355, 0.750)
Au (0.201, 0.799, 0.105)
Au (0.201, 0.799, 0.395)
Au (0.799, 0.201, 0.605)
Au (0.799, 0.201, 0.895)


(12)
Entry from Alexandria: a geometry-optimized CaPr6YTm2 structure (PBE).

Crystal system: monoclinic
Energy of formation from the pure elements in eV per atom: 0.13

Cell lengths 9.068, 9.068, 9.909 Å; angles 94.33, 94.33, 118.53 degrees
Atoms (fractional coordinates):
Ca (0.098, 0.902, 0.750)
Ca (0.902, 0.098, 0.250)
Pr (0.001, 0.209, 0.622)
Pr (0.065, 0.526, 0.178)
Pr (0.209, 0.001, 0.122)
Pr (0.265, 0.613, 0.552)
Pr (0.387, 0.735, 0.948)
Pr (0.474, 0.935, 0.322)
Pr (0.526, 0.065, 0.678)
Pr (0.613, 0.265, 0.052)
Pr (0.735, 0.387, 0.448)
Pr (0.791, 0.999, 0.878)
Pr (0.935, 0.474, 0.822)
Pr (0.999, 0.791, 0.378)
Y (0.472, 0.528, 0.250)
Y (0.528, 0.472, 0.750)
Tm (0.203, 0.304, 0.956)
Tm (0.304, 0.203, 0.456)
Tm (0.696, 0.797, 0.544)
Tm (0.797, 0.696, 0.044)


Per-record uncorrected energy, eV/cell: -35.76, -59.82, -67.72, -9.94, -21.36, -24.53, -66.99, -22.89, -16.12, -28.32, -71.04, -89.59